Record 1
First-principles (PBE) data for Zr2ScPd4 after structural relaxation, as listed in the Alexandria database.

a b c (Å): 4.4014 5.6157 5.6157
angles (deg): 99.65 90.00 90.00
Fractional coordinates of all 7 atoms:
1 Pd 0.0000 0.2907 0.2907
2 Pd 0.0000 0.7093 0.7093
3 Pd 0.5000 0.0000 0.5000
4 Sc 0.5000 0.5000 0.5000
5 Pd 0.5000 0.5000 0.0000
6 Zr 0.0000 0.2086 0.7914
7 Zr 0.0000 0.7914 0.2086

Crystal system: orthorhombic
ΔH_f (0 K): -12.353 kcal/mol of atoms
Magnetic moment: 0.0 μB/f.u.



Record 2
First-principles (PBE) data for ZrScPd after structural relaxation, as listed in the Alexandria database.

a b c (Å): 3.3422 3.3422 5.8762
angles (deg): 106.52 106.52 90.00
Fractional coordinates of all 3 atoms:
1 Sc 0.3208 0.3208 0.6416
2 Zr 0.0114 0.0114 0.0229
3 Pd 0.6678 0.6678 0.3355

Crystal system: tetragonal
ΔH_f (0 K): -11.426 kcal/mol of atoms
Magnetic moment: 0.0 μB/f.u.



Record 3
First-principles (PBE) data for ZrScPd after structural relaxation, as listed in the Alexandria database.

a b c (Å): 3.2842 3.2842 11.1160
angles (deg): 90.00 90.00 90.00
Fractional coordinates of all 6 atoms:
1 Pd 0.5000 0.5000 0.7345
2 Sc 0.0000 0.0000 0.2848
3 Pd 0.5000 0.5000 0.4381
4 Zr 0.0000 0.0000 0.8958
5 Sc 0.0000 0.0000 0.5859
6 Zr 0.5000 0.5000 0.0848

Crystal system: tetragonal
ΔH_f (0 K): -12.831 kcal/mol of atoms
Magnetic moment: 0.0 μB/f.u.



Record 4
First-principles (PBE) data for Zr2ScPd after structural relaxation, as listed in the Alexandria database.

a b c (Å): 3.1872 3.1872 9.8389
angles (deg): 80.68 80.68 60.00
Fractional coordinates of all 4 atoms:
1 Sc 0.4993 0.4993 0.5021
2 Pd 0.6675 0.6675 0.9976
3 Zr 0.0772 0.0772 0.7685
4 Zr 0.2560 0.2560 0.2319

Crystal system: trigonal
ΔH_f (0 K): -3.902 kcal/mol of atoms
Magnetic moment: 0.0 μB/f.u.



Record 5
First-principles (PBE) data for ZrScPd2 after structural relaxation, as listed in the Alexandria database.

a b c (Å): 7.3411 7.3411 5.9504
angles (deg): 51.91 51.91 90.00
Fractional coordinates of all 8 atoms:
1 Sc 0.5000 0.5000 0.0000
2 Pd 0.1281 0.6250 0.2500
3 Pd 0.3750 0.3781 0.7500
4 Pd 0.8750 0.8719 0.7500
5 Sc 0.2500 0.7500 0.5000
6 Zr 0.0000 0.0000 0.0000
7 Zr 0.7500 0.2500 0.5000
8 Pd 0.6219 0.1250 0.2500

Crystal system: tetragonal
ΔH_f (0 K): -7.894 kcal/mol of atoms
Magnetic moment: 0.3 μB/f.u.



Record 6
First-principles (PBE) data for Zr2ScPd8 after structural relaxation, as listed in the Alexandria database.

a b c (Å): 4.0897 6.6182 7.4926
angles (deg): 107.46 105.84 90.00
Fractional coordinates of all 11 atoms:
1 Pd 0.1414 0.1878 0.2828
2 Pd 0.8586 0.8122 0.7172
3 Pd 0.0401 0.7235 0.0802
4 Zr 0.2202 0.6654 0.4404
5 Pd 0.6778 0.9089 0.3555
6 Pd 0.4026 0.5505 0.8052
7 Sc 0.5000 0.0000 0.0000
8 Pd 0.5974 0.4495 0.1948
9 Pd 0.3222 0.0911 0.6445
10 Zr 0.7798 0.3346 0.5596
11 Pd 0.9599 0.2765 0.9198

Crystal system: monoclinic
ΔH_f (0 K): -16.377 kcal/mol of atoms
Magnetic moment: 0.0 μB/f.u.



Record 7
First-principles (PBE) data for Zr3ScPd6 after structural relaxation, as listed in the Alexandria database.

a b c (Å): 4.7372 7.9280 10.3727
angles (deg): 113.95 90.00 90.00
Fractional coordinates of all 20 atoms:
1 Pd 0.7500 0.7348 0.5156
2 Pd 0.2500 0.0591 0.8694
3 Zr 0.7500 0.2214 0.0257
4 Pd 0.7500 0.8384 0.8301
5 Zr 0.7500 0.6614 0.2160
6 Zr 0.2500 0.7786 0.9743
7 Pd 0.7500 0.1236 0.7242
8 Zr 0.7500 0.4771 0.6335
9 Pd 0.7500 0.9409 0.1306
10 Pd 0.2500 0.1616 0.1699
11 Pd 0.7500 0.3366 0.3293
12 Pd 0.2500 0.2652 0.4844
13 Pd 0.2500 0.4723 0.0744
14 Pd 0.2500 0.6634 0.6707
15 Pd 0.2500 0.8764 0.2758
16 Zr 0.2500 0.3386 0.7840
17 Pd 0.7500 0.5277 0.9256
18 Zr 0.2500 0.5229 0.3665
19 Sc 0.7500 0.0587 0.4266
20 Sc 0.2500 0.9413 0.5734

Crystal system: monoclinic
ΔH_f (0 K): -16.209 kcal/mol of atoms
Magnetic moment: 0.0 μB/f.u.



Record 8
First-principles (PBE) data for ZrScPd after structural relaxation, as listed in the Alexandria database.

a b c (Å): 7.6551 3.4118 11.6689
angles (deg): 90.00 125.09 90.00
Fractional coordinates of all 12 atoms:
1 Sc 0.1891 0.0000 0.9997
2 Zr 0.0804 0.5000 0.2034
3 Pd 0.8108 0.5000 0.4850
4 Zr 0.4871 0.0000 0.4389
5 Pd 0.4499 0.0000 0.7066
6 Sc 0.7577 0.0000 0.2496
7 Sc 0.7577 0.5000 0.7496
8 Pd 0.8108 0.0000 0.9850
9 Sc 0.1891 0.5000 0.4997
10 Zr 0.0804 0.0000 0.7034
11 Zr 0.4871 0.5000 0.9389
12 Pd 0.4499 0.5000 0.2066

Crystal system: monoclinic
ΔH_f (0 K): -11.326 kcal/mol of atoms
Magnetic moment: 0.0 μB/f.u.



Record 9
First-principles (PBE) data for ZrSc2Pd5 after structural relaxation, as listed in the Alexandria database.

a b c (Å): 4.7535 5.6672 10.4238
angles (deg): 90.00 90.00 90.00
Fractional coordinates of all 16 atoms:
1 Pd 0.0000 0.0000 0.0000
2 Sc 0.5000 0.1420 0.8531
3 Pd 0.5000 0.8291 0.4030
4 Pd 0.0000 0.8094 0.7506
5 Pd 0.0000 0.1906 0.2494
6 Pd 0.5000 0.6709 0.9030
7 Zr 0.0000 0.5000 0.0000
8 Pd 0.5000 0.1709 0.5970
9 Sc 0.5000 0.6420 0.6469
10 Pd 0.0000 0.5000 0.5000
11 Sc 0.5000 0.3580 0.3531
12 Sc 0.5000 0.8580 0.1469
13 Zr 0.0000 0.0000 0.5000
14 Pd 0.0000 0.3094 0.7494
15 Pd 0.5000 0.3291 0.0970
16 Pd 0.0000 0.6906 0.2506

Crystal system: orthorhombic
ΔH_f (0 K): -18.725 kcal/mol of atoms
Magnetic moment: 0.0 μB/f.u.



Record 10
First-principles (PBE) data for Zr2ScPd after structural relaxation, as listed in the Alexandria database.

a b c (Å): 8.1605 8.1605 8.1605
angles (deg): 146.39 146.39 48.27
Fractional coordinates of all 8 atoms:
1 Sc 0.6426 0.6426 0.0000
2 Zr 0.5000 0.0000 0.5000
3 Zr 0.0000 0.5000 0.5000
4 Pd 0.2500 0.7500 0.5000
5 Zr 0.8653 0.8653 0.0000
6 Sc 0.3574 0.3574 0.0000
7 Pd 0.7500 0.2500 0.5000
8 Zr 0.1347 0.1347 0.0000

Crystal system: tetragonal
ΔH_f (0 K): -9.115 kcal/mol of atoms
Magnetic moment: 0.0 μB/f.u.



Record 11
First-principles (PBE) data for ZrScPd after structural relaxation, as listed in the Alexandria database.

a b c (Å): 3.5171 14.4695 4.6380
angles (deg): 90.00 90.00 90.00
Fractional coordinates of all 12 atoms:
1 Zr 0.5000 0.2412 0.2500
2 Zr 0.5000 0.7588 0.7500
3 Pd 0.0000 0.0788 0.2500
4 Pd 0.5000 0.4212 0.7500
5 Sc 0.0000 0.5766 0.7500
6 Sc 0.0000 0.4234 0.2500
7 Sc 0.5000 0.0766 0.7500
8 Pd 0.5000 0.5788 0.2500
9 Zr 0.0000 0.2588 0.7500
10 Sc 0.5000 0.9234 0.2500
11 Zr 0.0000 0.7412 0.2500
12 Pd 0.0000 0.9212 0.7500

Crystal system: orthorhombic
ΔH_f (0 K): -12.509 kcal/mol of atoms
Magnetic moment: 0.0 μB/f.u.



Record 12
First-principles (PBE) data for ZrScPd after structural relaxation, as listed in the Alexandria database.

a b c (Å): 5.0160 3.2802 14.7088
angles (deg): 90.00 90.83 90.00
Fractional coordinates of all 12 atoms:
1 Zr 0.2873 0.0000 0.1465
2 Sc 0.7905 0.0000 0.2915
3 Zr 0.2873 0.5000 0.6465
4 Pd 0.3966 0.5000 0.9872
5 Pd 0.7791 0.0000 0.6447
6 Sc 0.8418 0.5000 0.4856
7 Sc 0.7905 0.5000 0.7915
8 Zr 0.2960 0.0000 0.8321
9 Zr 0.2960 0.5000 0.3321
10 Sc 0.8418 0.0000 0.9856
11 Pd 0.7791 0.5000 0.1447
12 Pd 0.3966 0.0000 0.4872

Crystal system: monoclinic
ΔH_f (0 K): -11.214 kcal/mol of atoms
Magnetic moment: 0.0 μB/f.u.



Which value of magnetic moment does entry 12 give?
0.0 μB/f.u.



What did the eighth record say?
First-principles (PBE) data for ZrScPd after structural relaxation, as listed in the Alexandria database.

a b c (Å): 7.6551 3.4118 11.6689
angles (deg): 90.00 125.09 90.00
Fractional coordinates of all 12 atoms:
1 Sc 0.1891 0.0000 0.9997
2 Zr 0.0804 0.5000 0.2034
3 Pd 0.8108 0.5000 0.4850
4 Zr 0.4871 0.0000 0.4389
5 Pd 0.4499 0.0000 0.7066
6 Sc 0.7577 0.0000 0.2496
7 Sc 0.7577 0.5000 0.7496
8 Pd 0.8108 0.0000 0.9850
9 Sc 0.1891 0.5000 0.4997
10 Zr 0.0804 0.0000 0.7034
11 Zr 0.4871 0.5000 0.9389
12 Pd 0.4499 0.5000 0.2066

Crystal system: monoclinic
ΔH_f (0 K): -11.326 kcal/mol of atoms
Magnetic moment: 0.0 μB/f.u.



Which of these has the lowest ΔH_f (0 K)?
ZrSc2Pd5